(A)
DFT (PBE) results for SrCuCl2 after structural relaxation.

Values from the calculation:
Crystal system: tetragonal

abc: 3.5644 3.5644 10.4643
angles: 90.00 90.00 90.00
With the nearest neighbours (Å) after each atom.
Space group P4/mmm (No. 123)
Unique sites:
Sr (0.0000, 0.0000, 0.0000) (multiplicity 1)  8 Cl 3.00
Cu (0.0000, 0.0000, 0.5000) (multiplicity 1)  4 Cu 3.56
Cl (0.5000, 0.5000, 0.1555) (multiplicity 2)  4 Sr 3.00, 1 Cl 3.26

---

(B)
DFT (PBE) results for SrCuCl2 after structural relaxation.

Values from the calculation:
Crystal system: monoclinic

abc: 4.1993 4.3687 5.4223
angles: 90.00 107.36 90.00
With the nearest neighbours (Å) after each atom.
Space group P2/m (No. 10)
Unique sites:
Sr (0.0000, 0.0000, 0.0000) (multiplicity 1)  6 Cl 2.89-3.03
Cu (0.0000, 0.5000, 0.5000) (multiplicity 1)  6 Cl 2.89-3.03
Cl (0.5000, 0.0000, 0.5000) (multiplicity 1)  2 Sr 2.89, 4 Cu 3.03
Cl (0.5000, 0.5000, 0.0000) (multiplicity 1)  2 Cu 2.89, 4 Sr 3.03

---

Tell me which of them is the most stable. Sure, it is (B).

---

(A)
DFT (PBE) results for SrCuCl2 after structural relaxation.

Values from the calculation:
Crystal system: orthorhombic

abc: 3.9048 4.7490 4.7781
angles: 90.00 90.00 90.00
With the nearest neighbours (Å) after each atom.
Space group Pmmm (No. 47)
Unique sites:
Sr (0.0000, 0.0000, 0.0000) (multiplicity 1)  8 Cl 3.07-3.09, 4 Cu 3.37
Cu (0.0000, 0.5000, 0.5000) (multiplicity 1)  8 Cl 3.07-3.09, 4 Sr 3.37
Cl (0.5000, 0.0000, 0.5000) (multiplicity 1)  4 Cu 3.07, 4 Sr 3.09, 4 Cl 3.37
Cl (0.5000, 0.5000, 0.0000) (multiplicity 1)  4 Sr 3.07, 4 Cu 3.09, 4 Cl 3.37

---

(B)
DFT (PBE) results for SrCuCl2 after structural relaxation.

Values from the calculation:
Crystal system: monoclinic

abc: 9.4198 4.5375 5.2802
angles: 90.00 94.82 90.00
With the nearest neighbours (Å) after each atom.
Space group C2/m (No. 12)
Unique sites:
Sr (0.0000, 0.0000, 0.0000) (multiplicity 2)  4 Cl 2.95
Cu (0.0000, 0.5000, 0.5000) (multiplicity 2)  2 Cl 2.28
Cl (0.1701, 0.5000, 0.2163) (multiplicity 4)  1 Cu 2.28

---

Tell me which of them is the most stable. Sure, it is (B).

---

(A)
DFT (PBE) results for Sr2CuCl after structural relaxation.

Values from the calculation:
Crystal system: tetragonal

abc: 7.9137 7.9137 8.7497
angles: 90.00 90.00 90.00
With the nearest neighbours (Å) after each atom.
Space group I-42d (No. 122)
Unique sites:
Sr (0.2483, 0.2500, 0.1250) (multiplicity 8)  2 Cl 3.00, 2 Cu 3.01
Cu (0.0000, 0.0000, 0.5000) (multiplicity 4)  4 Sr 3.01
Cl (0.0000, 0.0000, 0.0000) (multiplicity 4)  4 Sr 3.00

---

(B)
DFT (PBE) results for Sr2CuCl after structural relaxation.

Values from the calculation:
Crystal system: monoclinic

abc: 4.4063 6.3654 4.4190
angles: 90.00 90.00 90.00
With the nearest neighbours (Å) after each atom.
Space group Pm (No. 6)
Unique sites:
Sr (0.0000, 0.0000, 0.0000) (multiplicity 1)  4 Cu 3.12, 2 Cl 3.18
Sr (0.4985, 0.5000, 0.4994) (multiplicity 1)  4 Cl 3.12, 2 Cu 3.18
Cu (0.5006, 0.0000, 0.5007) (multiplicity 1)  6 Sr 3.12-3.18
Cl (0.9988, 0.5000, 0.9991) (multiplicity 1)  6 Sr 3.12-3.18

---

Tell me which of them is the most stable. Sure, it is (B).